An optimized crystal structure of ScZnCo, computed with GGA-PBE.

Results
**Energy relative to the elements**: -0.079 eV per atom
**N(E_F)**: 1.030 states/eV per cell
**Raw total energy**: -14.95 eV per formula unit

Lattice parameters (Å, degrees): 4.183 4.183 4.183 60.00 60.00 60.00
Fractional coordinates of all 3 atoms:
1 Zn 0.500 0.500 0.500
2 Sc 0.000 0.000 0.000
3 Co 0.750 0.750 0.750


An optimized crystal structure of Pr4IrSeBr2, computed with GGA-PBE.

Results
**N(E_F)**: 5.323 states/eV per cell
**Raw total energy**: -45.07 eV per formula unit

Lattice parameters (Å, degrees): 4.157 7.678 7.886 107.64 90.00 90.00
Fractional coordinates of all 8 atoms:
1 Pr 0.500 0.752 0.790
2 Se 0.000 0.000 0.000
3 Pr 0.000 0.711 0.202
4 Pr 0.500 0.248 0.210
5 Br 0.000 0.500 0.500
6 Pr 0.000 0.289 0.798
7 Br 0.500 0.000 0.500
8 Ir 0.500 0.500 0.000


An optimized crystal structure of Er3Tl2Ni, computed with GGA-PBE.

Results
**Energy relative to the elements**: -0.244 eV per atom
**N(E_F)**: 8.006 states/eV per cell
**Raw total energy**: -25.66 eV per formula unit

Lattice parameters (Å, degrees): 7.678 6.588 7.875 84.32 80.22 54.36
Fractional coordinates of all 12 atoms:
1 Tl 0.000 0.000 0.000
2 Ni 0.711 0.578 0.000
3 Tl 0.500 0.000 0.500
4 Er 0.454 0.644 0.779
5 Tl 0.142 0.715 0.500
6 Ni 0.289 0.422 0.000
7 Er 0.098 0.356 0.779
8 Tl 0.858 0.285 0.500
9 Er 0.331 0.000 0.168
10 Er 0.669 0.000 0.832
11 Er 0.546 0.356 0.221
12 Er 0.902 0.644 0.221


An optimized crystal structure of CsBPt, computed with GGA-PBE.

Results
**Energy relative to the elements**: 0.009 eV per atom
**N(E_F)**: 4.061 states/eV per cell
**Raw total energy**: -13.55 eV per formula unit

Lattice parameters (Å, degrees): 3.546 11.370 5.196 90.26 90.00 98.97
Fractional coordinates of all 6 atoms:
1 B 0.495 0.991 0.249
2 B 0.505 0.009 0.751
3 Cs 0.638 0.277 0.259
4 Cs 0.362 0.723 0.741
5 Pt 0.000 0.000 0.000
6 Pt 0.000 0.000 0.500


An optimized crystal structure of TcAs2Br, computed with GGA-PBE.

Results
**N(E_F)**: 2.989 states/eV per cell
**Raw total energy**: -20.75 eV per formula unit

Lattice parameters (Å, degrees): 7.948 7.948 7.948 157.36 150.61 37.41
Fractional coordinates of all 4 atoms:
1 Tc 0.740 0.240 0.500
2 As 0.884 0.884 0.000
3 Br 0.595 0.595 0.000
4 As 0.281 0.781 0.500


An optimized crystal structure of RbZrSc, computed with GGA-PBE.

Results
**Energy relative to the elements**: 0.442 eV per atom
**N(E_F)**: 6.433 states/eV per cell
**Raw total energy**: -14.52 eV per formula unit

Lattice parameters (Å, degrees): 12.746 4.912 4.913 60.07 100.50 89.46
Fractional coordinates of all 6 atoms:
1 Sc 0.499 0.018 0.417
2 Zr 0.616 0.644 0.159
3 Rb 0.951 0.528 0.374
4 Zr 0.729 0.938 0.565
5 Rb 0.271 0.763 0.937
6 Sc 0.619 0.310 0.828


An optimized crystal structure of Rb3Na2RhF9, computed with GGA-PBE.

Results
**N(E_F)**: 15.993 states/eV per cell
**Raw total energy**: -65.56 eV per formula unit

Lattice parameters (Å, degrees): 6.229 6.229 7.674 90.00 90.00 120.00
Each line ends with the local moment (μB).
Fractional coordinates of all 15 atoms:
1 F 0.149 0.299 0.354  0.04
2 F 0.000 0.500 0.000  0.07
3 F 0.500 0.000 0.000  0.07
4 Rb 0.667 0.333 0.281  0.00
5 Na 0.667 0.333 0.834  0.00
6 Rb 0.000 0.000 0.000  0.00
7 F 0.299 0.149 0.646  0.04
8 F 0.701 0.851 0.354  0.04
9 Na 0.333 0.667 0.166  0.00
10 F 0.851 0.701 0.646  0.04
11 Rb 0.333 0.667 0.719  0.00
12 F 0.149 0.851 0.354  0.04
13 F 0.851 0.149 0.646  0.04
14 F 0.500 0.500 0.000  0.07
15 Rh 0.000 0.000 0.500  0.62


An optimized crystal structure of CdW2Se, computed with GGA-PBE.

Results
**N(E_F)**: 3.409 states/eV per cell
**Raw total energy**: -26.97 eV per formula unit

Lattice parameters (Å, degrees): 2.888 2.888 9.234 90.00 90.00 114.16
Fractional coordinates of all 4 atoms:
1 Se 0.500 0.500 0.750
2 W 0.000 0.000 0.980
3 Cd 0.500 0.500 0.250
4 W 0.000 0.000 0.520